Compound: Ce5Bi5Au
Source: Alexandria
Functional: GGA-PBE
Structure: optimized geometry

Unit cell a=7.8429 b=7.8429 c=9.0373 alpha=107.22 beta=107.22 gamma=48.07
Element x y z (fractional)
Ce 0.0000 0.0000 0.0000
Ce 0.3380 0.3380 0.1639
Ce 0.3378 0.3378 0.6724
Ce 0.6622 0.6622 0.3276
Ce 0.6620 0.6620 0.8361
Bi 0.1621 0.1621 0.8240
Bi 0.1713 0.1713 0.3365
Bi 0.5000 0.5000 0.5000
Bi 0.8287 0.8287 0.6635
Bi 0.8379 0.8379 0.1760
Au 0.5000 0.5000 0.0000

- Calculated formation energy: -5.43 eV/f.u.
- Density: 8.2 Mg/m³



Compound: CeBiAu5
Source: Alexandria
Functional: GGA-PBE
Structure: optimized geometry

Unit cell a=9.7487 b=5.4866 c=11.7198 alpha=90.00 beta=90.00 gamma=90.00
Element x y z (fractional)
Ce 0.2498 0.2500 0.0763
Ce 0.2502 0.7500 0.5763
Ce 0.7498 0.2500 0.4237
Ce 0.7502 0.7500 0.9237
Bi 0.1710 0.2500 0.3640
Bi 0.3290 0.7500 0.8640
Bi 0.6710 0.2500 0.1360
Bi 0.8290 0.7500 0.6360
Au 0.0240 0.2500 0.5743
Au 0.0444 0.5010 0.7925
Au 0.0444 0.9990 0.7925
Au 0.0684 0.7500 0.0074
Au 0.2175 0.7500 0.2157
Au 0.2825 0.2500 0.7157
Au 0.4316 0.2500 0.5074
Au 0.4556 0.0010 0.2925
Au 0.4556 0.4990 0.2925
Au 0.4760 0.7500 0.0743
Au 0.5240 0.2500 0.9257
Au 0.5444 0.5010 0.7075
Au 0.5444 0.9990 0.7075
Au 0.5684 0.7500 0.4926
Au 0.7175 0.7500 0.2843
Au 0.7825 0.2500 0.7843
Au 0.9316 0.2500 0.9926
Au 0.9556 0.0010 0.2075
Au 0.9556 0.4990 0.2075
Au 0.9760 0.7500 0.4257

- Calculated formation energy: -2.21 eV/f.u.
- Density: 14.1 Mg/m³



Compound: CeBi3Au8
Source: Alexandria
Functional: GGA-PBE
Structure: optimized geometry

Unit cell a=9.9897 b=9.9897 c=9.9897 alpha=33.27 beta=33.27 gamma=33.27
Element x y z (fractional)
Ce 0.0000 0.0000 0.0000
Bi 0.1292 0.1292 0.1292
Bi 0.5006 0.5006 0.5006
Bi 0.6289 0.6289 0.6289
Au 0.0643 0.5645 0.5645
Au 0.0647 0.0647 0.5661
Au 0.0647 0.5661 0.0647
Au 0.3151 0.3151 0.3151
Au 0.5645 0.0643 0.5645
Au 0.5645 0.5645 0.0643
Au 0.5661 0.0647 0.0647
Au 0.8148 0.8148 0.8148

- Calculated formation energy: -2.59 eV/f.u.
- Density: 14.6 Mg/m³



Compound: CeBi2Au
Source: Alexandria
Functional: GGA-PBE
Structure: optimized geometry

Unit cell a=4.9043 b=4.9043 c=4.4191 alpha=90.00 beta=90.00 gamma=90.00
Element x y z (fractional)
Ce 0.0000 0.0000 0.0000
Bi 0.0000 0.5000 0.5000
Bi 0.5000 0.0000 0.5000
Au 0.5000 0.5000 0.0000

- Calculated formation energy: -2.06 eV/f.u.
- ΔE to the lowest computed polymorph: 0.0458 eV/atom
- Density: 11.8 Mg/m³